[1]
An optimized crystal structure of MgSb2O4, computed with PBE.

CIF file:
```
data_MgSb2O4
_chemical_formula_sum 'Mg4 Sb8 O16'
_cell_length_a 6.273
_cell_length_b 7.080
_cell_length_c 9.162
_cell_angle_alpha 90.00
_cell_angle_beta 90.00
_cell_angle_gamma 90.00
_space_group_name_H-M_alt 'I m m a'
_space_group_IT_number 74
_space_group_name_Hall '-I 2b 2'
loop_
_atom_site_label
_atom_site_type_symbol
_atom_site_fract_x
_atom_site_fract_y
_atom_site_fract_z
Mg1 Mg 0.250 0.250 0.250
Sb1 Sb 0.000 0.000 0.000
Sb2 Sb 0.000 0.250 0.648
O1 O 0.000 0.049 0.243
O2 O 0.247 0.250 0.498
```

Values from the calculation:
Mass density, g cm⁻³: 5.417
Raw formation energy, eV per atom: -1.466


[2]
An optimized crystal structure of MgSb2O4, computed with PBE.

CIF file:
```
data_MgSb2O4
_chemical_formula_sum 'Mg6 Sb12 O24'
_cell_length_a 6.7192
_cell_length_b 6.7192
_cell_length_c 15.7425
_cell_angle_alpha 90.00
_cell_angle_beta 90.00
_cell_angle_gamma 120.00
_space_group_name_H-M_alt 'R 3 m'
_space_group_IT_number 160
_space_group_name_Hall 'R 3 -2"'
loop_
_atom_site_label
_atom_site_type_symbol
_atom_site_fract_x
_atom_site_fract_y
_atom_site_fract_z
Mg1 Mg 0.0000 0.0000 0.0000
Mg2 Mg 0.0000 0.0000 0.3765
Sb1 Sb 0.0000 0.0000 0.7808
Sb2 Sb 0.1694 0.3387 0.2161
O1 O 0.0000 0.0000 0.1385
O2 O 0.0000 0.0000 0.6544
O3 O 0.0386 0.5193 0.1153
O4 O 0.1774 0.3547 0.9574
```

Values from the calculation:
Mass density, g cm⁻³: 5.371
Raw formation energy, eV per atom: -1.423


[3]
An optimized crystal structure of MgSb2O4, computed with PBE.

CIF file:
```
data_MgSb2O4
_chemical_formula_sum 'Mg4 Sb8 O16'
_cell_length_a 10.014
_cell_length_b 3.090
_cell_length_c 13.166
_cell_angle_alpha 90.00
_cell_angle_beta 90.00
_cell_angle_gamma 90.00
_space_group_name_H-M_alt 'P n m a'
_space_group_IT_number 62
_space_group_name_Hall '-P 2ac 2n'
loop_
_atom_site_label
_atom_site_type_symbol
_atom_site_fract_x
_atom_site_fract_y
_atom_site_fract_z
Mg1 Mg 0.163 0.250 0.169
Sb1 Sb 0.020 0.750 0.645
Sb2 Sb 0.121 0.250 0.915
O1 O 0.075 0.750 0.813
O2 O 0.080 0.750 0.062
O3 O 0.106 0.750 0.283
O4 O 0.173 0.250 0.650
```

Values from the calculation:
DOS(E_F), states/eV/cell: 0.00
Mass density, g cm⁻³: 5.411
Raw formation energy, eV per atom: -1.490


[4]
An optimized crystal structure of MgSbO2, computed with PBE.

CIF file:
```
data_MgSbO2
_chemical_formula_sum 'Mg4 Sb4 O8'
_cell_length_a 5.954
_cell_length_b 5.954
_cell_length_c 5.954
_cell_angle_alpha 90.00
_cell_angle_beta 90.00
_cell_angle_gamma 90.00
_space_group_name_H-M_alt 'F m -3 m'
_space_group_IT_number 225
_space_group_name_Hall '-F 4 2 3'
loop_
_atom_site_label
_atom_site_type_symbol
_atom_site_fract_x
_atom_site_fract_y
_atom_site_fract_z
Mg1 Mg 0.000 0.000 0.000
Sb1 Sb 0.000 0.000 0.500
O1 O 0.250 0.250 0.250
```

Values from the calculation:
DOS(E_F), states/eV/cell: 4.36
Mass density, g cm⁻³: 5.604
Raw formation energy, eV per atom: -0.757


[5]
An optimized crystal structure of MgSb2O5, computed with PBE.

CIF file:
```
data_MgSb2O5
_chemical_formula_sum 'Mg4 Sb8 O20'
_cell_length_a 4.134
_cell_length_b 10.374
_cell_length_c 10.791
_cell_angle_alpha 90.00
_cell_angle_beta 90.00
_cell_angle_gamma 90.00
_space_group_name_H-M_alt 'C m c m'
_space_group_IT_number 63
_space_group_name_Hall '-C 2c 2'
loop_
_atom_site_label
_atom_site_type_symbol
_atom_site_fract_x
_atom_site_fract_y
_atom_site_fract_z
Mg1 Mg 0.000 0.193 0.250
Sb1 Sb 0.000 0.135 0.571
O1 O 0.000 0.055 0.111
O2 O 0.000 0.229 0.750
O3 O 0.000 0.321 0.079
```

Values from the calculation:
DOS(E_F), states/eV/cell: 10.68
Mass density, g cm⁻³: 4.992
Raw formation energy, eV per atom: -1.579


[6]
An optimized crystal structure of MgSbO2, computed with PBE.

CIF file:
```
data_MgSbO2
_chemical_formula_sum 'Mg3 Sb3 O6'
_cell_length_a 3.1380
_cell_length_b 3.1380
_cell_length_c 18.6730
_cell_angle_alpha 90.00
_cell_angle_beta 90.00
_cell_angle_gamma 120.00
_space_group_name_H-M_alt 'R -3 m'
_space_group_IT_number 166
_space_group_name_Hall '-R 3 2"'
loop_
_atom_site_label
_atom_site_type_symbol
_atom_site_fract_x
_atom_site_fract_y
_atom_site_fract_z
Mg1 Mg 0.0000 0.0000 0.0000
Sb1 Sb 0.0000 0.0000 0.5000
O1 O 0.0000 0.0000 0.3905
```

Values from the calculation:
DOS(E_F), states/eV/cell: 2.32
Mass density, g cm⁻³: 5.571
Raw formation energy, eV per atom: -1.692


Computed relative energy among the computed polymorphs, in the same sequence as the records: 0.307, 0.349, 0.283, 0.934, 0.010, 0.000 eV per atom.